[1]
## EuErInIr (PBE)

Data for EuErInIr after structural relaxation.

abc: 5.110 5.110 5.110
angles: 60.00 60.00 60.00
Sites, in units of the cell vectors:
Eu 0.000 0.000 0.000
Er 0.500 0.500 0.500
In 0.750 0.750 0.750
Ir 0.250 0.250 0.250

Values from the calculation:
Space group: F-43m (216)
V, Å³/cell: 94.4
Total DFT energy (no corrections), eV/atom: -7.007

***

[2]
## Tb4InAu5 (PBE)

Data for Tb4InAu5 after structural relaxation.

abc: 3.619 3.619 17.717
angles: 90.00 90.00 90.00
Sites, in units of the cell vectors:
Tb 0.000 0.000 0.103
Tb 0.000 0.000 0.308
Tb 0.000 0.000 0.692
Tb 0.000 0.000 0.897
In 0.000 0.000 0.500
Au 0.500 0.500 0.000
Au 0.500 0.500 0.203
Au 0.500 0.500 0.399
Au 0.500 0.500 0.601
Au 0.500 0.500 0.797

Values from the calculation:
Space group: P4/mmm (123)
V, Å³/cell: 232.0
Total DFT energy (no corrections), eV/atom: -4.515

***

[3]
## BaMn2Mo (PBE)

Data for BaMn2Mo after structural relaxation.

abc: 4.075 4.075 6.665
angles: 107.85 107.85 60.25
Sites, in units of the cell vectors:
Ba 0.000 0.000 0.000
Mn 0.194 0.194 0.584
Mn 0.520 0.520 0.561
Mo 0.807 0.807 0.422

Values from the calculation:
Space group: Cm (8)
V, Å³/cell: 89.8
Polymorph energy (0 for the lowest one), eV per atom: 0.0705
Total DFT energy (no corrections), eV/atom: -7.148

***

[4]
## RbIn3Pt (PBE)

Data for RbIn3Pt after structural relaxation.

abc: 6.103 6.103 6.103
angles: 90.00 90.00 90.00
Sites, in units of the cell vectors:
Rb 0.000 0.000 0.000
In 0.000 0.000 0.500
In 0.000 0.500 0.000
In 0.500 0.000 0.000
Pt 0.500 0.500 0.500

Values from the calculation:
Space group: Pm-3m (221)
V, Å³/cell: 227.3
Polymorph energy (0 for the lowest one), eV per atom: 1.7736
Total DFT energy (no corrections), eV/atom: -1.556

***

[5]
## InSnHgAu (PBE)

Data for InSnHgAu after structural relaxation.

abc: 12.415 12.415 12.415
angles: 20.91 20.91 20.91
Sites, in units of the cell vectors:
In 0.095 0.095 0.095
In 0.905 0.905 0.905
Sn 0.305 0.305 0.305
Sn 0.695 0.695 0.695
Hg 0.191 0.191 0.191
Hg 0.809 0.809 0.809
Au 0.390 0.390 0.390
Au 0.610 0.610 0.610

Values from the calculation:
Space group: R-3m (166)
V, Å³/cell: 213.4
Polymorph energy (0 for the lowest one), eV per atom: 0.0000
Total DFT energy (no corrections), eV/atom: -2.668

***

[6]
## TiMn2PH (PBE)

Data for TiMn2PH after structural relaxation.

abc: 3.655 3.655 3.913
angles: 90.00 90.00 90.00
Sites, in units of the cell vectors:
Ti 0.000 0.000 0.000
Mn 0.000 0.500 0.500
Mn 0.500 0.000 0.500
P 0.500 0.500 0.000
H 0.000 0.000 0.500

Values from the calculation:
Space group: P4/mmm (123)
V, Å³/cell: 52.3
Total DFT energy (no corrections), eV/atom: -7.379